Record 1
Entry from Alexandria via LeMat-Bulk: a relaxed Ca2BeAlPd6 crystal (PBE).

Output
ΔH_f (0 K) = -0.605 eV/atom
DOS at the Fermi energy = 2.88 states/eV per cell
energy = -4.87 eV per atom

The structure in POSCAR format:
```
Ca2BeAlPd6
1.0
-0.899 -5.397 -2.345
6.650 -0.221 -1.973
4.856 -4.714 1.511
Be Pd Al Ca
1 6 1 2
Cartesian
2.875 -2.809 -2.159 Be
7.108 -6.604 -2.502 Pd
8.818 -8.915 -1.883 Pd
3.498 -3.729 -0.305 Pd
9.316 -6.062 -0.638 Pd
1.291 -4.271 -2.169 Pd
1.789 -1.417 -0.924 Pd
0.000 0.000 0.000 Al
6.793 -3.764 -1.382 Ca
3.813 -6.568 -1.425 Ca
```


Record 2
Entry from Alexandria via LeMat-Bulk: a relaxed CaPmBeAl crystal (PBE).

Output
ΔH_f (0 K) = 0.011 eV/atom
DOS at the Fermi energy = 2.02 states/eV per cell
energy = -3.54 eV per atom

The structure in POSCAR format:
```
CaPmBeAl
1.0
5.127 0.000 0.000
2.564 4.440 0.000
2.564 1.480 4.186
Al Ca Pm Be
1 1 1 1
Cartesian
5.127 2.960 2.093 Al
2.564 1.480 1.047 Ca
7.691 4.440 3.140 Pm
0.000 0.000 0.000 Be
```


Record 3
Entry from Alexandria via LeMat-Bulk: a relaxed CaBeAlPt2 crystal (PBE).

Output
ΔH_f (0 K) = -0.854 eV/atom
DOS at the Fermi energy = 2.20 states/eV per cell
energy = -5.16 eV per atom

The structure in POSCAR format:
```
CaBeAlPt2
1.0
-2.927 1.114 -2.382
0.482 -3.276 -2.124
-2.513 -1.625 5.578
Pt Ca Be Al
2 1 1 1
Cartesian
-2.826 -2.047 2.516 Pt
-2.132 -1.740 -1.443 Pt
0.000 0.000 0.000 Ca
-1.627 -2.991 0.600 Be
-3.331 -0.796 0.472 Al
```


Record 4
Entry from Alexandria via LeMat-Bulk: a relaxed Ca2BeAlPt6 crystal (PBE).

Output
ΔH_f (0 K) = -0.737 eV/atom
DOS at the Fermi energy = 3.68 states/eV per cell
energy = -5.51 eV per atom

The structure in POSCAR format:
```
Ca2BeAlPt6
1.0
-2.400 -5.109 -0.809
-0.480 -0.926 7.276
-5.530 -1.322 4.659
Pt Be Ca Al
6 1 2 1
Cartesian
-3.399 -2.164 3.651 Pt
-6.303 -3.280 9.673 Pt
-5.012 -5.193 7.475 Pt
-0.860 -1.419 1.875 Pt
-7.551 -5.938 9.251 Pt
-2.108 -4.077 1.454 Pt
-1.440 -3.018 3.234 Be
-5.043 -4.664 4.222 Ca
-3.368 -2.693 6.905 Ca
0.000 0.000 0.000 Al
```


Record 5
Entry from Alexandria via LeMat-Bulk: a relaxed Ca2BeAl4Pt3 crystal (PBE).

Output
ΔH_f (0 K) = -0.805 eV/atom
DOS at the Fermi energy = 4.82 states/eV per cell
energy = -4.89 eV per atom

The structure in POSCAR format:
```
Ca2BeAl4Pt3
1.0
-1.719 3.673 -1.070
-0.645 -1.435 -3.888
-9.505 -3.602 2.907
Al Pt Ca Be
4 3 2 1
Cartesian
-1.182 1.119 -2.479 Al
-3.877 -2.064 -0.857 Al
0.000 0.000 0.000 Al
-6.810 -0.418 1.285 Al
-9.081 -1.278 1.979 Pt
-4.752 -1.801 1.453 Pt
-1.606 -1.204 -1.551 Pt
-7.388 -3.394 0.217 Ca
-3.299 0.912 0.211 Ca
-5.935 -0.682 -1.026 Be
```


Record 6
Entry from Alexandria via LeMat-Bulk: a relaxed Ca2BeAl3Pt4 crystal (PBE).

Output
ΔH_f (0 K) = -0.938 eV/atom
DOS at the Fermi energy = 4.10 states/eV per cell
energy = -5.25 eV per atom

The structure in POSCAR format:
```
Ca2BeAl3Pt4
1.0
-0.148 4.168 -0.112
-1.846 0.035 3.742
9.366 0.456 4.617
Al Ca Be Pt
3 2 1 4
Cartesian
0.338 0.079 2.492 Al
8.031 2.478 3.940 Al
4.683 0.228 2.309 Al
6.020 0.355 5.294 Ca
2.349 2.202 1.138 Ca
3.686 2.329 4.123 Be
2.573 0.188 3.594 Pt
-0.997 2.102 1.815 Pt
0.000 0.000 0.000 Pt
5.796 2.370 2.838 Pt
```


Record 7
Entry from Alexandria via LeMat-Bulk: a relaxed Ca2Be2AlPt5 crystal (PBE).

Output
ΔH_f (0 K) = -0.914 eV/atom
DOS at the Fermi energy = 6.72 states/eV per cell
energy = -5.45 eV per atom

The structure in POSCAR format:
```
Ca2Be2AlPt5
1.0
-2.645 1.969 0.582
-3.191 -6.251 6.648
4.996 4.696 6.815
Al Pt Be Ca
2 10 4 4
Cartesian
0.903 -0.778 6.731 Al
0.000 0.000 0.000 Al
0.422 0.782 8.904 Pt
0.824 0.437 11.896 Pt
-2.918 -2.141 3.615 Pt
2.406 4.273 6.110 Pt
-1.427 -1.426 7.972 Pt
0.587 1.840 6.073 Pt
-3.246 -3.859 7.935 Pt
-1.262 -0.368 5.141 Pt
1.176 3.333 3.698 Pt
-1.664 -0.022 2.149 Pt
2.403 0.237 10.118 Be
2.718 2.159 5.047 Be
-0.598 -1.792 3.344 Be
-0.913 -3.714 8.415 Be
1.051 0.414 3.378 Ca
3.082 1.845 7.760 Ca
-1.277 -3.400 5.703 Ca
0.754 -1.969 10.085 Ca
```


Record 8
Entry from Alexandria via LeMat-Bulk: a relaxed Rb2CaBeAl crystal (PBE).

Output
ΔH_f (0 K) = 1.146 eV/atom
DOS at the Fermi energy = 7.54 states/eV per cell
energy = -1.14 eV per atom

The structure in POSCAR format:
```
Rb2CaBeAl
1.0
-5.558 0.668 -4.580
4.202 -2.273 -5.430
-1.406 -4.950 0.984
Be Rb Ca Al
1 2 1 1
Cartesian
-0.703 -2.475 0.492 Be
-2.779 0.334 -2.290 Rb
2.101 -1.136 -2.715 Rb
0.000 0.000 0.000 Ca
-1.380 -3.277 -4.513 Al
```


- Which of these has the lowest ΔH_f (0 K)?
  Ca2BeAl3Pt4


- Which value of energy does entry 8 give?
  -1.14 eV per atom


- DOS at the Fermi energy of number 5 (Ca2BeAl4Pt3)?
  4.82 states/eV per cell